Below is a relaxed structure of Pm8Pr4Er, with properties calculated at the PBE-GGA level.

abc: 11.306 11.306 7.931
angles: 90.00 135.46 120.00
Site moments in Bohr magnetons follow the coordinates.
Positions (direct):
1 Pm 0.525 0.763 0.288  0.06
2 Pm 0.475 0.237 0.712  0.06
3 Pm 0.472 0.236 0.225  0.06
4 Pm 0.011 0.247 0.775  0.06
5 Pm 0.528 0.764 0.775  0.06
6 Pm 0.011 0.764 0.775  0.06
7 Pm 0.989 0.236 0.225  0.06
8 Pm 0.989 0.753 0.225  0.06
9 Pr 0.000 0.000 0.000  -0.04
10 Pr 0.000 0.500 0.000  0.16
11 Pr 0.500 0.500 0.000  0.16
12 Pr 0.500 0.000 0.000  0.16
13 Er 0.000 0.500 0.500  0.04

Summary:
Total moment: 1.68 μB/f.u.
V: 498.7 Å³ per cell
ΔE_f: 0.48 eV/atom

Below is a relaxed structure of Rb3As2F8, with properties calculated at the PBE-GGA level.

abc: 6.717 6.717 8.062
angles: 65.38 65.38 60.00
Site moments in Bohr magnetons follow the coordinates.
Positions (direct):
1 Rb 0.000 0.000 0.000  0.00
2 Rb 0.208 0.208 0.376  0.00
3 Rb 0.792 0.792 0.624  0.00
4 As 0.432 0.432 0.705  0.19
5 As 0.568 0.568 0.295  0.19
6 F 0.335 0.335 0.996  0.11
7 F 0.665 0.665 0.004  0.11
8 F 0.266 0.780 0.689  0.01
9 F 0.780 0.266 0.689  0.01
10 F 0.266 0.266 0.689  0.01
11 F 0.220 0.734 0.311  0.01
12 F 0.734 0.220 0.311  0.01
13 F 0.734 0.734 0.311  0.01

Summary:
ΔE_f (raw): -2220 meV per atom
Total moment: 1.02 μB/f.u.
V: 276.2 Å³ per cell

Below is a relaxed structure of Cu15Pt4Au, with properties calculated at the PBE-GGA level.

abc: 3.724 3.724 18.835
angles: 90.00 90.00 90.00
Positions (direct):
1 Cu 0.500 0.500 0.000
2 Cu 0.500 0.500 0.202
3 Cu 0.500 0.500 0.401
4 Cu 0.500 0.500 0.599
5 Cu 0.500 0.500 0.798
6 Cu 0.500 0.000 0.103
7 Cu 0.500 0.000 0.301
8 Cu 0.500 0.000 0.500
9 Cu 0.500 0.000 0.699
10 Cu 0.500 0.000 0.897
11 Cu 0.000 0.500 0.103
12 Cu 0.000 0.500 0.301
13 Cu 0.000 0.500 0.500
14 Cu 0.000 0.500 0.699
15 Cu 0.000 0.500 0.897
16 Pt 0.000 0.000 0.202
17 Pt 0.000 0.000 0.400
18 Pt 0.000 0.000 0.600
19 Pt 0.000 0.000 0.798
20 Au 0.000 0.000 0.000

Summary:
Total moment: 0.00 μB/f.u.
V: 261.2 Å³ per cell
ΔE_f: -0.13 eV/atom